No. 1
Computed, not measured: an optimized crystal structure of LiNi2B at the PBE-GGA level of DFT.

a b c (Å): 2.4681 13.4856 4.9059
angles (deg): 90.00 90.00 90.00
With the nearest neighbours (Å) after each atom.
Fractional coordinates of all 16 atoms:
Li 0.0000 0.2399 0.2500  6 Li 2.47-2.76, 6 Ni 2.59-2.66
Li 0.0000 0.7601 0.7500  6 Li 2.47-2.76, 6 Ni 2.59-2.66
Li 0.5000 0.2601 0.7500  6 Li 2.47-2.76, 6 Ni 2.59-2.66
Li 0.5000 0.7399 0.2500  6 Li 2.47-2.76, 6 Ni 2.59-2.66
Ni 0.0000 0.4094 0.0013  4 B 2.12-2.14
Ni 0.0000 0.4094 0.4987  4 B 2.12-2.14
Ni 0.0000 0.5906 0.5013  4 B 2.12-2.14
Ni 0.0000 0.5906 0.9987  4 B 2.12-2.14
Ni 0.5000 0.0906 0.5013  4 B 2.12-2.14
Ni 0.5000 0.0906 0.9987  4 B 2.12-2.14
Ni 0.5000 0.9094 0.0013  4 B 2.12-2.14
Ni 0.5000 0.9094 0.4987  4 B 2.12-2.14
B 0.0000 0.0017 0.2500  8 Ni 2.12-2.14
B 0.0000 0.9983 0.7500  8 Ni 2.12-2.14
B 0.5000 0.4983 0.7500  8 Ni 2.12-2.14
B 0.5000 0.5017 0.2500  8 Ni 2.12-2.14

- energy of formation (meV per atom) = -122
- space group = Cmcm

---

No. 2
Computed, not measured: an optimized crystal structure of Co2WSe at the PBE-GGA level of DFT.

a b c (Å): 2.7968 2.7968 6.8666
angles (deg): 90.00 90.00 90.00
With the nearest neighbours (Å) after each atom.
Fractional coordinates of all 4 atoms:
Co 0.0000 0.0000 0.2430  4 Se 2.59, 4 W 2.65, 4 Co 2.80
Co 0.0000 0.0000 0.7570  4 Se 2.59, 4 W 2.65, 4 Co 2.80
W 0.5000 0.5000 0.5000  8 Co 2.65, 4 W 2.80
Se 0.5000 0.5000 0.0000  8 Co 2.59, 4 Se 2.80

- space group = P4/mmm
- DFT total energy (Ry per atom) = -0.546

---

No. 3
Computed, not measured: an optimized crystal structure of Ho8Tc2Au at the PBE-GGA level of DFT.

a b c (Å): 7.6669 7.6669 5.7201
angles (deg): 99.71 99.71 112.20
With the nearest neighbours (Å) after each atom.
Fractional coordinates of all 11 atoms:
Ho 0.0000 0.0000 0.0000  2 Tc 2.96, 1 Au 3.16
Ho 0.0441 0.3077 0.6055  2 Tc 2.82-2.83
Ho 0.1542 0.6068 0.1990  1 Au 2.96, 2 Tc 3.04-3.08
Ho 0.3077 0.0441 0.6055  2 Tc 2.82-2.83
Ho 0.4528 0.7186 0.7909  2 Tc 2.82-2.83
Ho 0.6068 0.1542 0.1990  1 Au 2.96, 2 Tc 3.04-3.08
Ho 0.7186 0.4528 0.7909  2 Tc 2.82-2.83
Ho 0.7504 0.7504 0.3927  2 Tc 2.97, 1 Au 3.12
Tc 0.0678 0.6905 0.6947  8 Ho 2.82-3.08
Tc 0.6905 0.0678 0.6947  8 Ho 2.82-3.08
Au 0.3730 0.3730 0.3169  8 Ho 2.96-3.25

- energy of formation (meV per atom) = -164
- space group = Cm

---

No. 4
Computed, not measured: an optimized crystal structure of Ho2ZnGa2Pt5 at the PBE-GGA level of DFT.

a b c (Å): 9.6920 9.6920 3.7528
angles (deg): 90.00 90.00 90.00
With the nearest neighbours (Å) after each atom.
Fractional coordinates of all 20 atoms:
Ho 0.1749 0.3251 0.0000  3 Ga 2.74-2.95, 2 Pt 3.04
Ho 0.3251 0.8251 0.0000  3 Ga 2.74-2.95, 2 Pt 3.04
Ho 0.6749 0.1749 0.0000  3 Ga 2.74-2.95, 2 Pt 3.04
Ho 0.8251 0.6749 0.0000  3 Ga 2.74-2.95, 2 Pt 3.04
Zn 0.0000 0.0000 0.0000  8 Pt 2.79
Zn 0.5000 0.5000 0.0000  8 Pt 2.79
Ga 0.1249 0.6249 0.0000  6 Pt 2.54-2.58, 1 Ho 2.74
Ga 0.3751 0.1249 0.0000  6 Pt 2.54-2.58, 1 Ho 2.74
Ga 0.6249 0.8751 0.0000  6 Pt 2.54-2.58, 1 Ho 2.74
Ga 0.8751 0.3751 0.0000  6 Pt 2.54-2.58, 1 Ho 2.74
Pt 0.0000 0.5000 0.5000  4 Ga 2.54
Pt 0.0638 0.7970 0.5000  2 Ga 2.58, 2 Zn 2.79
Pt 0.2030 0.0638 0.5000  2 Ga 2.58, 2 Zn 2.79
Pt 0.2970 0.5638 0.5000  2 Ga 2.58, 2 Zn 2.79
Pt 0.4362 0.2970 0.5000  2 Ga 2.58, 2 Zn 2.79
Pt 0.5000 0.0000 0.5000  4 Ga 2.54
Pt 0.5638 0.7030 0.5000  2 Ga 2.58, 2 Zn 2.79
Pt 0.7030 0.4362 0.5000  2 Ga 2.58, 2 Zn 2.79
Pt 0.7970 0.9362 0.5000  2 Ga 2.58, 2 Zn 2.79
Pt 0.9362 0.2030 0.5000  2 Ga 2.58, 2 Zn 2.79

- energy of formation (meV per atom) = -843
- space group = P4/mbm

---

No. 5
Computed, not measured: an optimized crystal structure of Tm2TiO5 at the PBE-GGA level of DFT.

a b c (Å): 7.3220 3.6044 15.3388
angles (deg): 90.00 90.00 90.00
With the nearest neighbours (Å) after each atom.
Fractional coordinates of all 32 atoms:
Tm 0.0924 0.2500 0.0891  6 O 2.26-2.40
Tm 0.1393 0.2500 0.7339  6 O 2.15-2.38
Tm 0.3607 0.7500 0.2339  6 O 2.15-2.38
Tm 0.4076 0.7500 0.5891  6 O 2.26-2.40
Tm 0.5924 0.2500 0.4109  6 O 2.26-2.40
Tm 0.6393 0.2500 0.7661  6 O 2.15-2.38
Tm 0.8607 0.7500 0.2661  6 O 2.15-2.38
Tm 0.9076 0.7500 0.9109  6 O 2.26-2.40
Ti 0.1287 0.2500 0.4249  5 O 1.87-2.06
Ti 0.3713 0.7500 0.9249  5 O 1.87-2.06
Ti 0.6287 0.2500 0.0751  5 O 1.87-2.06
Ti 0.8713 0.7500 0.5751  5 O 1.87-2.06
O 0.0832 0.7500 0.4525  2 Ti 1.88
O 0.0902 0.7500 0.1787  4 Tm 2.15-2.27
O 0.1051 0.7500 0.6495  1 Ti 2.06, 2 Tm 2.23
O 0.1506 0.7500 0.0014  1 Ti 2.00
O 0.2145 0.7500 0.8290  1 Ti 1.87
O 0.2855 0.2500 0.3290  1 Ti 1.87
O 0.3494 0.2500 0.5014  1 Ti 2.00
O 0.3949 0.2500 0.1495  1 Ti 2.06, 2 Tm 2.23
O 0.4098 0.2500 0.6787  4 Tm 2.15-2.27
O 0.4168 0.2500 0.9525  2 Ti 1.88
O 0.5832 0.7500 0.0475  2 Ti 1.88
O 0.5902 0.7500 0.3213  4 Tm 2.15-2.27
O 0.6051 0.7500 0.8505  1 Ti 2.06, 2 Tm 2.23
O 0.6506 0.7500 0.4986  1 Ti 2.00
O 0.7145 0.7500 0.6710  1 Ti 1.87
O 0.7855 0.2500 0.1710  1 Ti 1.87
O 0.8494 0.2500 0.9986  1 Ti 2.00
O 0.8949 0.2500 0.3505  1 Ti 2.06, 2 Tm 2.23
O 0.9098 0.2500 0.8213  4 Tm 2.15-2.27
O 0.9168 0.2500 0.5475  2 Ti 1.88

- space group = Pnma
- polymorph energy (0 for the lowest one) (eV per atom) = 0.031

---

No. 6
Computed, not measured: an optimized crystal structure of CdGa2PtCl at the PBE-GGA level of DFT.

a b c (Å): 4.8315 4.8315 5.3483
angles (deg): 90.00 90.00 90.00
With the nearest neighbours (Å) after each atom.
Fractional coordinates of all 5 atoms:
Cd 0.0000 0.0000 0.0000  2 Pt 2.67
Ga 0.0000 0.5000 0.5000  2 Pt 2.42
Ga 0.5000 0.0000 0.5000  2 Pt 2.42
Pt 0.0000 0.0000 0.5000  4 Ga 2.42, 2 Cd 2.67
Cl 0.5000 0.5000 0.0000  4 Cd 3.42, 8 Ga 3.60

- space group = P4/mmm
- DFT total energy (Ry per atom) = -0.255

---

No. 7
Computed, not measured: an optimized crystal structure of BaSiSb2 at the PBE-GGA level of DFT.

a b c (Å): 10.7414 4.1566 5.9713
angles (deg): 90.00 110.06 90.00
With the nearest neighbours (Å) after each atom.
Fractional coordinates of all 8 atoms:
Ba 0.0000 0.0000 0.0000  4 Si 3.58-3.85, 8 Sb 3.64-3.82
Ba 0.5000 0.5000 0.0000  4 Si 3.58-3.85, 8 Sb 3.64-3.82
Si 0.2306 0.0000 0.6567  4 Sb 2.80-2.91
Si 0.7306 0.5000 0.6567  4 Sb 2.80-2.91
Sb 0.0293 0.5000 0.5205  2 Si 2.91, 1 Sb 3.05
Sb 0.2776 0.5000 0.3813  2 Si 2.80, 1 Sb 3.05
Sb 0.5293 0.0000 0.5205  2 Si 2.91, 1 Sb 3.05
Sb 0.7776 0.0000 0.3813  2 Si 2.80, 1 Sb 3.05

- space group = Cm
- DFT total energy (Ry per atom) = -0.309

---

No. 8
Computed, not measured: an optimized crystal structure of TlTeH at the PBE-GGA level of DFT.

a b c (Å): 4.8748 4.8748 7.7254
angles (deg): 90.00 90.00 90.00
With the nearest neighbours (Å) after each atom.
Fractional coordinates of all 6 atoms:
Tl 0.0000 0.0000 0.0000  1 H 2.66
Tl 0.5000 0.5000 0.5000  1 H 2.66
Te 0.0000 0.0000 0.5636  1 H 1.70
Te 0.5000 0.5000 0.0636  1 H 1.70
H 0.0000 0.0000 0.3439  1 Te 1.70
H 0.5000 0.5000 0.8439  1 Te 1.70

- space group = I4mm
- polymorph energy (0 for the lowest one) (eV per atom) = 0.110

---

No. 9
Computed, not measured: an optimized crystal structure of NdHoErZn at the PBE-GGA level of DFT.

a b c (Å): 7.5929 7.5929 7.5929
angles (deg): 90.00 90.00 90.00
With the nearest neighbours (Å) after each atom.
Fractional coordinates of all 16 atoms:
Nd 0.0000 0.0000 0.0000  4 Er 3.29, 4 Zn 3.29
Nd 0.0000 0.5000 0.5000  4 Er 3.29, 4 Zn 3.29
Nd 0.5000 0.0000 0.5000  4 Er 3.29, 4 Zn 3.29
Nd 0.5000 0.5000 0.0000  4 Er 3.29, 4 Zn 3.29
Ho 0.0000 0.0000 0.5000  4 Zn 3.29, 4 Er 3.29
Ho 0.0000 0.5000 0.0000  4 Zn 3.29, 4 Er 3.29
Ho 0.5000 0.0000 0.0000  4 Zn 3.29, 4 Er 3.29
Ho 0.5000 0.5000 0.5000  4 Zn 3.29, 4 Er 3.29
Er 0.2500 0.2500 0.2500  4 Ho 3.29, 4 Nd 3.29
Er 0.2500 0.7500 0.7500  4 Ho 3.29, 4 Nd 3.29
Er 0.7500 0.2500 0.7500  4 Ho 3.29, 4 Nd 3.29
Er 0.7500 0.7500 0.2500  4 Ho 3.29, 4 Nd 3.29
Zn 0.2500 0.2500 0.7500  4 Ho 3.29, 4 Nd 3.29
Zn 0.2500 0.7500 0.2500  4 Ho 3.29, 4 Nd 3.29
Zn 0.7500 0.2500 0.2500  4 Ho 3.29, 4 Nd 3.29
Zn 0.7500 0.7500 0.7500  4 Ho 3.29, 4 Nd 3.29

- energy of formation (meV per atom) = 39
- space group = F-43m
- polymorph energy (0 for the lowest one) (eV per atom) = 0.204

---

No. 10
Computed, not measured: an optimized crystal structure of LaTb6Sc3 at the PBE-GGA level of DFT.

a b c (Å): 6.7444 6.7444 6.7444
angles (deg): 91.48 91.48 91.48
With the nearest neighbours (Å) after each atom.
Fractional coordinates of all 10 atoms:
La 0.0000 0.0000 0.0000  2 Sc 2.96-2.98, 3 Tb 3.30
Tb 0.0008 0.3414 0.6592  2 Sc 3.29, 1 La 3.30, 2 Tb 3.67-3.68
Tb 0.1667 0.8339 0.5008  3 Sc 3.22-3.40
Tb 0.3414 0.6592 0.0008  2 Sc 3.29, 1 La 3.30, 2 Tb 3.67-3.68
Tb 0.5008 0.1667 0.8339  3 Sc 3.22-3.40
Tb 0.6592 0.0008 0.3414  2 Sc 3.29, 1 La 3.30, 2 Tb 3.67-3.68
Tb 0.8339 0.5008 0.1667  3 Sc 3.22-3.40
Sc 0.2605 0.2605 0.2605  1 Sc 2.72, 1 La 2.96
Sc 0.4993 0.4993 0.4993  2 Sc 2.71-2.72
Sc 0.7379 0.7379 0.7379  1 Sc 2.71, 1 La 2.98

- energy of formation (meV per atom) = 190
- space group = R3
- polymorph energy (0 for the lowest one) (eV per atom) = 0.058

---

No. 11
Computed, not measured: an optimized crystal structure of Tb6MgSc at the PBE-GGA level of DFT.

a b c (Å): 6.2741 6.2741 6.2741
angles (deg): 94.79 94.79 94.79
With the nearest neighbours (Å) after each atom.
Fractional coordinates of all 8 atoms:
Tb 0.0455 0.7543 0.5204  6 Tb 3.18-3.54, 1 Mg 3.31, 1 Sc 3.39
Tb 0.2457 0.4796 0.9545  6 Tb 3.18-3.54, 1 Mg 3.31, 1 Sc 3.39
Tb 0.4796 0.9545 0.2457  6 Tb 3.18-3.54, 1 Mg 3.31, 1 Sc 3.39
Tb 0.5204 0.0455 0.7543  6 Tb 3.18-3.54, 1 Mg 3.31, 1 Sc 3.39
Tb 0.7543 0.5204 0.0455  6 Tb 3.18-3.54, 1 Mg 3.31, 1 Sc 3.39
Tb 0.9545 0.2457 0.4796  6 Tb 3.18-3.54, 1 Mg 3.31, 1 Sc 3.39
Mg 0.0000 0.0000 0.0000  6 Tb 3.31
Sc 0.5000 0.5000 0.5000  12 Tb 3.39-3.64

- energy of formation (meV per atom) = 137
- space group = R-3
- polymorph energy (0 for the lowest one) (eV per atom) = 0.113